1.
A plane-wave DFT calculation with GGA-PBE was carried out for an optimized crystal structure of NaTcBiAs.

Computed properties:
crystal system = cubic
total moment = 0.01 μB per formula unit
calculated total energy = -4.824 eV per atom

a = 6.736 Å, b = 6.736 Å, c = 6.736 Å
α = 90.00°, β = 90.00°, γ = 90.00°
Space group F-43m (No. 216)
One atom of each set of equivalent atoms:
Na1 0.000 0.000 0.000
Tc1 0.000 0.000 0.500
Bi1 0.250 0.250 0.750
As1 0.250 0.250 0.250

***

2.
A plane-wave DFT calculation with GGA-PBE was carried out for an optimized crystal structure of NaTcBiAs.

Computed properties:
crystal system = cubic
total moment = 1.07 μB per formula unit
calculated total energy = -4.399 eV per atom

a = 6.893 Å, b = 6.893 Å, c = 6.893 Å
α = 90.00°, β = 90.00°, γ = 90.00°
Space group F-43m (No. 216)
One atom of each set of equivalent atoms:
Na1 0.000 0.000 0.000
Tc1 0.250 0.250 0.250
Bi1 0.000 0.000 0.500
As1 0.250 0.250 0.750

***

3.
A plane-wave DFT calculation with GGA-PBE was carried out for an optimized crystal structure of NbBiAs.

Computed properties:
crystal system = cubic
total moment = 0.93 μB per formula unit
calculated total energy = -5.707 eV per atom

a = 6.615 Å, b = 6.615 Å, c = 6.615 Å
α = 90.00°, β = 90.00°, γ = 90.00°
Space group F-43m (No. 216)
One atom of each set of equivalent atoms:
Nb1 0.000 0.000 0.000
Bi1 0.000 0.000 0.500
As1 0.250 0.250 0.750